Entry 1:
The following is a DFT calculation (PBE) of a geometry-optimized CaLa3Pt8 structure.

E_tot	-6.50	eV/atom
calculated formation energy	-104	kJ per mole of atoms

abc: 5.5284 5.5284 9.5976
angles: 73.26 73.26 60.00
Closest atoms and distances in Å follow each position.
Fractional positions:
Pt 0.6875 0.6875 0.9375  6 Pt 2.77-2.78
Pt 0.9376 0.9376 0.6869  6 Pt 2.76-2.77
La 0.3761 0.3761 0.8718  12 Pt 3.23-3.28, 4 La 3.42-3.44
Pt 0.9384 0.4367 0.1882  6 Pt 2.75-2.78
La 0.9973 0.9973 0.0080  12 Pt 3.21-3.32, 1 Ca 3.36, 3 La 3.42
Pt 0.4379 0.9376 0.6869  6 Pt 2.76-2.77
Ca 0.8737 0.8737 0.3789  12 Pt 3.21-3.26, 4 La 3.35-3.36
Pt 0.9376 0.4379 0.6869  6 Pt 2.76-2.77
Pt 0.1878 0.1878 0.4365  6 Pt 2.75-2.77
La 0.5026 0.5026 0.4921  12 Pt 3.18-3.28, 3 Ca 3.35, 1 La 3.44
Pt 0.4367 0.9384 0.1882  6 Pt 2.75-2.78
Pt 0.4367 0.4367 0.1882  6 Pt 2.75-2.78



Entry 2:
The following is a DFT calculation (PBE) of a geometry-optimized BaHgB2Te structure.

formation energy from raw total energies	1.150	eV/atom
E_tot	-2.59	eV/atom

abc: 4.7312 5.9244 4.7312
angles: 90.00 90.00 90.00
Closest atoms and distances in Å follow each position.
Fractional positions:
Te 0.0000 0.0000 0.0000  4 B 2.37
B 0.5000 0.0000 0.0000  2 Te 2.37
Ba 0.5000 0.5000 0.5000  4 Hg 3.35
B 0.0000 0.0000 0.5000  2 Te 2.37
Hg 0.0000 0.5000 0.0000  2 Te 2.96



Entry 3:
The following is a DFT calculation (PBE) of a geometry-optimized NaBeB3 structure.

E above lowest polymorph	0.0	meV per atom
E_tot	-3.58	eV/atom
calculated formation energy	139	kJ per mole of atoms

abc: 3.7702 3.7702 3.7702
angles: 90.00 90.00 90.00
Closest atoms and distances in Å follow each position.
Fractional positions:
B 0.0000 0.0000 0.5000  2 Be 1.89
B 0.5000 0.0000 0.0000  2 Be 1.89
Be 0.0000 0.0000 0.0000  6 B 1.89
B 0.0000 0.5000 0.0000  2 Be 1.89
Na 0.5000 0.5000 0.5000  12 B 2.67



Entry 4:
The following is a DFT calculation (PBE) of a geometry-optimized NaSrMg2Pt structure.

E above lowest polymorph	85.4	meV per atom
E_tot	-2.70	eV/atom
calculated formation energy	-25	kJ per mole of atoms

abc: 5.1234 5.1234 5.5102
angles: 90.00 90.00 90.00
Closest atoms and distances in Å follow each position.
Fractional positions:
Na 0.0000 0.0000 0.5000  2 Pt 2.76
Sr 0.5000 0.5000 0.5000  4 Na 3.62, 8 Mg 3.76
Pt 0.0000 0.0000 0.0000  4 Mg 2.56, 2 Na 2.76
Mg 0.5000 0.0000 0.0000  2 Pt 2.56
Mg 0.0000 0.5000 0.0000  2 Pt 2.56



Entry 5:
The following is a DFT calculation (PBE) of a geometry-optimized AlCd2ReBr structure.

formation energy from raw total energies	0.993	eV/atom
E_tot	-2.95	eV/atom

abc: 5.2692 4.8203 5.2692
angles: 90.00 90.00 90.00
Closest atoms and distances in Å follow each position.
Fractional positions:
Al 0.0000 0.0000 0.0000  2 Re 2.41, 4 Cd 2.63
Cd 0.0000 0.0000 0.5000  2 Al 2.63
Re 0.0000 0.5000 0.0000  2 Al 2.41
Br 0.5000 0.5000 0.5000  8 Cd 3.57, 4 Re 3.73
Cd 0.5000 0.0000 0.0000  2 Al 2.63



Q: The lowest E_tot belongs to which entry?
A: CaLa3Pt8



Q: Which of these has the lowest E_tot?
A: CaLa3Pt8



Q: E_tot of number 5 (AlCd2ReBr)?
A: -2.95 eV/atom



Repeat the fifth record exactly.
The following is a DFT calculation (PBE) of a geometry-optimized AlCd2ReBr structure.

formation energy from raw total energies	0.993	eV/atom
E_tot	-2.95	eV/atom

abc: 5.2692 4.8203 5.2692
angles: 90.00 90.00 90.00
Closest atoms and distances in Å follow each position.
Fractional positions:
Al 0.0000 0.0000 0.0000  2 Re 2.41, 4 Cd 2.63
Cd 0.0000 0.0000 0.5000  2 Al 2.63
Re 0.0000 0.5000 0.0000  2 Al 2.41
Br 0.5000 0.5000 0.5000  8 Cd 3.57, 4 Re 3.73
Cd 0.5000 0.0000 0.0000  2 Al 2.63